[1]
TlCoAu: relaxed, GGA-PBE.

The structure in POSCAR format:
```
TlCoAu
1.0
6.015 -0.017 0.018
5.216 2.998 0.034
0.799 0.199 3.009
Au Co Tl
1 1 1
Direct
0.978 0.978 0.022 Au
0.342 0.342 0.658 Co
0.679 0.679 0.321 Tl
```

Computed properties:
E above lowest polymorph	0	meV per atom
E_form	426	meV per atom
density	14033	kg/m3

***

[2]
TlCo4Au: relaxed, GGA-PBE.

The structure in POSCAR format:
```
TlCo4Au
1.0
2.895 -3.462 1.972
2.613 0.992 4.056
-1.226 -2.085 4.291
Tl Co Au
1 4 1
Direct
0.750 0.750 0.750 Tl
0.876 0.375 0.375 Co
0.375 0.375 0.876 Co
0.375 0.876 0.375 Co
0.375 0.375 0.375 Co
0.000 0.000 0.000 Au
```

Computed properties:
E_form	358	meV per atom
density	12520	kg/m3

***

[3]
Tl2CoAu: relaxed, GGA-PBE.

The structure in POSCAR format:
```
Tl2CoAu
1.0
5.541 0.020 0.000
2.442 4.974 0.000
-3.992 -2.497 2.922
Au Co Tl
1 1 2
Direct
0.500 0.500 0.000 Au
0.750 0.250 0.500 Co
0.000 0.000 0.000 Tl
0.250 0.750 0.500 Tl
```

Computed properties:
E above lowest polymorph	186	meV per atom
E_form	487	meV per atom
density	13730	kg/m3

***

[4]
Tl2CoAu: relaxed, GGA-PBE.

The structure in POSCAR format:
```
Tl2CoAu
1.0
4.683 0.000 0.000
0.000 4.916 0.000
0.000 0.000 3.559
Au Co Tl
1 1 2
Direct
0.500 0.000 0.500 Au
0.000 0.500 0.500 Co
0.000 0.000 0.000 Tl
0.500 0.500 0.000 Tl
```

Computed properties:
E above lowest polymorph	166	meV per atom
E_form	467	meV per atom
density	13471	kg/m3

***

[5]
Tl2CoAu: relaxed, GGA-PBE.

The structure in POSCAR format:
```
Tl2CoAu
1.0
0.000 3.451 3.451
3.451 0.000 3.451
3.451 3.451 0.000
Co Tl Au
1 2 1
Direct
0.000 0.000 0.000 Co
0.250 0.250 0.250 Tl
0.750 0.750 0.750 Tl
0.500 0.500 0.500 Au
```

Computed properties:
E above lowest polymorph	193	meV per atom
E_form	494	meV per atom
density	13424	kg/m3

***

[6]
TlCoAu4: relaxed, GGA-PBE.

The structure in POSCAR format:
```
TlCoAu4
1.0
0.000 3.928 3.928
3.928 0.000 3.928
3.928 3.928 0.000
Tl Co Au
1 1 4
Direct
0.000 0.000 0.000 Tl
0.750 0.750 0.750 Co
0.375 0.874 0.375 Au
0.874 0.375 0.375 Au
0.375 0.375 0.874 Au
0.375 0.375 0.375 Au
```

Computed properties:
E_form	375	meV per atom
density	14396	kg/m3

***

[7]
Tl2CoAu: relaxed, GGA-PBE.

The structure in POSCAR format:
```
Tl2CoAu
1.0
-0.665 -3.840 -1.324
1.026 -1.358 3.425
-4.634 -0.360 3.370
Au Co Tl
1 1 2
Direct
0.000 0.693 0.490 Au
0.500 0.542 0.790 Co
0.000 0.978 0.918 Tl
0.500 0.287 0.301 Tl
```

Computed properties:
E above lowest polymorph	15	meV per atom
E_form	315	meV per atom
density	12946	kg/m3

***

[8]
Tl2CoAu: relaxed, GGA-PBE.

The structure in POSCAR format:
```
Tl2CoAu
1.0
-0.559 1.325 -2.924
-0.117 -2.975 -1.325
-8.115 -0.309 1.412
Au Co Tl
1 1 2
Direct
0.000 0.000 0.557 Au
0.500 0.500 0.715 Co
0.000 0.000 0.940 Tl
0.500 0.500 0.288 Tl
```

Computed properties:
E above lowest polymorph	17	meV per atom
E_form	318	meV per atom
density	12610	kg/m3